First-principles (GGA-PBE) data for a relaxed structure of Na8Tl6Au, as listed in Alexandria via LeMat-Bulk.

a b c (Å): 9.3914 9.3914 18.1797
angles (deg): 90.00 90.00 120.00
With the nearest neighbours (Å) after each atom.
Space group R-3 (No. 148, hexagonal axes)
Inequivalent atoms, fractional coordinates:
Na 0.0000 0.0000 0.1105 x6  6 Tl 3.32-3.38
Na 0.0428 0.2378 0.6391 x18  4 Tl 3.19-3.56, 1 Au 3.26
Tl 0.0120 0.6502 0.8616 x18  1 Au 3.16, 5 Na 3.19-3.38, 3 Tl 3.28-3.37
Au 0.0000 0.0000 0.5000 x3  6 Tl 3.16, 6 Na 3.26

Summary:
energy above the most stable polymorph in this dataset: 9 meV per atom
DOS(E_F): 7.75 states/eV/f.u.
raw total energy: -1.943 eV per atom
E_form: -1.71 kcal/mol of atoms